1.
# Tb2NdPt | the Alexandria database | PBE | optimized geometry
data_Tb2NdPt
_cell_length_a 3.9810
_cell_length_b 3.9810
_cell_length_c 27.2268
_cell_angle_alpha 90.00
_cell_angle_beta 90.00
_cell_angle_gamma 120.00
_symmetry_space_group_name_H-M 'R 3 m'
_symmetry_Int_Tables_number 160
_symmetry_space_group_name_Hall 'R 3 -2"'
loop_
_atom_site_label
_atom_site_type_symbol
_atom_site_fract_x
_atom_site_fract_y
_atom_site_fract_z
Tb1 Tb 0.0000 0.0000 0.0000
Tb2 Tb 0.0000 0.0000 0.2144
Nd1 Nd 0.0000 0.0000 0.4428
Pt1 Pt 0.0000 0.0000 0.6066
# * polymorph energy (0 for the lowest one): 0.1428 eV per atom
# * ΔE_f: -536 meV/atom
# * total magnetic moment: 0.00 μB/f.u.

=====

2.
# Tb3NdPt | the Alexandria database | PBE | optimized geometry
data_Tb3NdPt
_cell_length_a 6.561
_cell_length_b 5.126
_cell_length_c 8.752
_cell_angle_alpha 90.00
_cell_angle_beta 96.40
_cell_angle_gamma 90.00
_symmetry_space_group_name_H-M 'P 1 21/m 1'
_symmetry_Int_Tables_number 11
loop_
_symmetry_equiv_pos_as_xyz
'x,y,z'
'-x,-y,-z'
'-x,y+1/2,-z'
'x,-y+1/2,z'
loop_
_atom_site_label
_atom_site_type_symbol
_atom_site_fract_x
_atom_site_fract_y
_atom_site_fract_z
Tb1 Tb 0.171 0.250 0.018
Tb2 Tb 0.215 0.250 0.443
Tb3 Tb 0.266 0.750 0.752
Nd1 Nd 0.396 0.750 0.212
Pt1 Pt 0.027 0.250 0.708
# * polymorph energy (0 for the lowest one): 0.0000 eV per atom
# * ΔE_f: -456 meV/atom
# * total magnetic moment: 0.00 μB/f.u.

=====

3.
# TbNdPt | the Alexandria database | PBE | optimized geometry
data_TbNdPt
_cell_length_a 6.780
_cell_length_b 6.780
_cell_length_c 7.153
_cell_angle_alpha 90.00
_cell_angle_beta 90.11
_cell_angle_gamma 90.00
_symmetry_space_group_name_H-M 'C 1 2/m 1'
_symmetry_Int_Tables_number 12
loop_
_symmetry_equiv_pos_as_xyz
'x,y,z'
'-x,-y,-z'
'-x,y,-z'
'x,-y,z'
'x+1/2,y+1/2,z'
'-x+1/2,-y+1/2,-z'
'-x+1/2,y+1/2,-z'
'x+1/2,-y+1/2,z'
loop_
_atom_site_label
_atom_site_type_symbol
_atom_site_fract_x
_atom_site_fract_y
_atom_site_fract_z
Tb1 Tb 0.000 0.250 0.000
Nd1 Nd 0.250 0.000 0.380
Pt1 Pt 0.249 0.000 0.775
# * polymorph energy (0 for the lowest one): 0.0545 eV per atom
# * ΔE_f: -813 meV/atom
# * total magnetic moment: 0.00 μB/f.u.

=====

4.
# TbNdPt2 | the Alexandria database | PBE | optimized geometry
data_TbNdPt2
_cell_length_a 7.125
_cell_length_b 7.125
_cell_length_c 7.125
_cell_angle_alpha 90.00
_cell_angle_beta 90.00
_cell_angle_gamma 90.00
_symmetry_space_group_name_H-M 'F m -3 m'
_symmetry_Int_Tables_number 225
_symmetry_space_group_name_Hall '-F 4 2 3'
loop_
_atom_site_label
_atom_site_type_symbol
_atom_site_fract_x
_atom_site_fract_y
_atom_site_fract_z
Tb1 Tb 0.000 0.000 0.000
Nd1 Nd 0.000 0.000 0.500
Pt1 Pt 0.250 0.250 0.250
# * polymorph energy (0 for the lowest one): 0.0947 eV per atom
# * ΔE_f: -1108 meV/atom
# * total magnetic moment: 0.00 μB/f.u.

=====

5.
# TbNdPt | the Alexandria database | PBE | optimized geometry
data_TbNdPt
_cell_length_a 7.016
_cell_length_b 7.016
_cell_length_c 7.016
_cell_angle_alpha 90.00
_cell_angle_beta 90.00
_cell_angle_gamma 90.00
_symmetry_space_group_name_H-M 'F -4 3 m'
_symmetry_Int_Tables_number 216
_symmetry_space_group_name_Hall 'F -4 2 3'
loop_
_atom_site_label
_atom_site_type_symbol
_atom_site_fract_x
_atom_site_fract_y
_atom_site_fract_z
Tb1 Tb 0.000 0.000 0.000
Nd1 Nd 0.000 0.000 0.500
Pt1 Pt 0.250 0.250 0.250
# * polymorph energy (0 for the lowest one): 0.0960 eV per atom
# * ΔE_f: -771 meV/atom
# * total magnetic moment: 0.00 μB/f.u.

=====

6.
# Tb3NdPt2 | the Alexandria database | PBE | optimized geometry
data_Tb3NdPt2
_cell_length_a 16.552
_cell_length_b 5.233
_cell_length_c 7.429
_cell_angle_alpha 90.00
_cell_angle_beta 95.28
_cell_angle_gamma 90.00
_symmetry_space_group_name_H-M 'C 1 2/m 1'
_symmetry_Int_Tables_number 12
loop_
_symmetry_equiv_pos_as_xyz
'x,y,z'
'-x,-y,-z'
'-x,y,-z'
'x,-y,z'
'x+1/2,y+1/2,z'
'-x+1/2,-y+1/2,-z'
'-x+1/2,y+1/2,-z'
'x+1/2,-y+1/2,z'
loop_
_atom_site_label
_atom_site_type_symbol
_atom_site_fract_x
_atom_site_fract_y
_atom_site_fract_z
Tb1 Tb 0.034 0.000 0.275
Tb2 Tb 0.103 0.500 0.029
Tb3 Tb 0.162 0.500 0.492
Nd1 Nd 0.194 0.000 0.833
Pt1 Pt 0.013 0.500 0.694
Pt2 Pt 0.206 0.000 0.230
# * polymorph energy (0 for the lowest one): 0.1209 eV per atom
# * ΔE_f: -787 meV/atom
# * total magnetic moment: 0.00 μB/f.u.

=====

7.
# Tb3NdPt2 | the Alexandria database | PBE | optimized geometry
data_Tb3NdPt2
_cell_length_a 4.818
_cell_length_b 8.910
_cell_length_c 7.245
_cell_angle_alpha 90.00
_cell_angle_beta 90.00
_cell_angle_gamma 90.00
_symmetry_space_group_name_H-M 'P m c 21'
_symmetry_Int_Tables_number 26
loop_
_symmetry_equiv_pos_as_xyz
'x,y,z'
'-x,-y,z+1/2'
'-x,y,z'
'x,-y,z+1/2'
loop_
_atom_site_label
_atom_site_type_symbol
_atom_site_fract_x
_atom_site_fract_y
_atom_site_fract_z
Tb1 Tb 0.000 0.080 0.000
Tb2 Tb 0.000 0.328 0.366
Tb3 Tb 0.500 0.165 0.653
Nd1 Nd 0.500 0.419 0.017
Pt1 Pt 0.000 0.336 0.763
Pt2 Pt 0.500 0.155 0.254
# * polymorph energy (0 for the lowest one): 0.0000 eV per atom
# * ΔE_f: -908 meV/atom
# * total magnetic moment: 0.00 μB/f.u.

=====

8.
# TbNdPt2 | the Alexandria database | PBE | optimized geometry
data_TbNdPt2
_cell_length_a 3.552
_cell_length_b 3.552
_cell_length_c 7.150
_cell_angle_alpha 90.00
_cell_angle_beta 90.00
_cell_angle_gamma 90.00
_symmetry_space_group_name_H-M 'P 4/m m m'
_symmetry_Int_Tables_number 123
_symmetry_space_group_name_Hall '-P 4 2'
loop_
_atom_site_label
_atom_site_type_symbol
_atom_site_fract_x
_atom_site_fract_y
_atom_site_fract_z
Tb1 Tb 0.000 0.000 0.000
Nd1 Nd 0.000 0.000 0.500
Pt1 Pt 0.500 0.500 0.234
# * polymorph energy (0 for the lowest one): 0.0855 eV per atom
# * ΔE_f: -1117 meV/atom
# * total magnetic moment: 0.00 μB/f.u.

=====

Which of these has the lowest ΔE_f?
number 8

=====

Among the records above, which one has the lowest ΔE_f?
number 8

=====

Copy entry 8 word for word.
# TbNdPt2 | the Alexandria database | PBE | optimized geometry
data_TbNdPt2
_cell_length_a 3.552
_cell_length_b 3.552
_cell_length_c 7.150
_cell_angle_alpha 90.00
_cell_angle_beta 90.00
_cell_angle_gamma 90.00
_symmetry_space_group_name_H-M 'P 4/m m m'
_symmetry_Int_Tables_number 123
_symmetry_space_group_name_Hall '-P 4 2'
loop_
_atom_site_label
_atom_site_type_symbol
_atom_site_fract_x
_atom_site_fract_y
_atom_site_fract_z
Tb1 Tb 0.000 0.000 0.000
Nd1 Nd 0.000 0.000 0.500
Pt1 Pt 0.500 0.500 0.234
# * polymorph energy (0 for the lowest one): 0.0855 eV per atom
# * ΔE_f: -1117 meV/atom
# * total magnetic moment: 0.00 μB/f.u.